Record 1
This record from Alexandria via LeMat-Bulk describes a relaxed Ti2VTc crystal. The functional is PBE.

mass density: 6.40 Mg/m³
E_form: 0.32 eV per atom
E above lowest polymorph: 0.533 eV/atom
symmetry: I-42d, No. 122

Cell: 6.8839 6.8839 5.3593 Å, 90.00 90.00 90.00°
Element x y z (fractional)
Ti  0.2409  0.2500  0.1250
Ti  0.2500  0.7409  0.3750
Ti  0.2500  0.7591  0.8750
Ti  0.2591  0.2500  0.6250
Ti  0.7409  0.7500  0.6250
Ti  0.7500  0.2409  0.8750
Ti  0.7500  0.2591  0.3750
Ti  0.7591  0.7500  0.1250
V  0.0000  0.0000  0.5000
V  0.0000  0.5000  0.7500
V  0.5000  0.0000  0.2500
V  0.5000  0.5000  0.0000
Tc  0.0000  0.0000  0.0000
Tc  0.0000  0.5000  0.2500
Tc  0.5000  0.0000  0.7500
Tc  0.5000  0.5000  0.5000

---

Record 2
This record from Alexandria via LeMat-Bulk describes a relaxed Ti2V4Tc crystal. The functional is PBE.

mass density: 5.25 Mg/m³
E_form: 0.97 eV per atom
E above lowest polymorph: 0.968 eV/atom
symmetry: I4/mmm, No. 139

Cell: 4.4532 4.4532 12.6696 Å, 90.00 90.00 90.00°
Element x y z (fractional)
Ti  0.0000  0.0000  0.1288
Ti  0.0000  0.0000  0.8712
Ti  0.5000  0.5000  0.3712
Ti  0.5000  0.5000  0.6288
V  0.0000  0.0000  0.3086
V  0.0000  0.0000  0.6914
V  0.0000  0.5000  0.0000
V  0.0000  0.5000  0.5000
V  0.5000  0.0000  0.0000
V  0.5000  0.0000  0.5000
V  0.5000  0.5000  0.1914
V  0.5000  0.5000  0.8086
Tc  0.0000  0.0000  0.5000
Tc  0.5000  0.5000  0.0000

---

Record 3
This record from Alexandria via LeMat-Bulk describes a relaxed TiV3Tc crystal. The functional is PBE.

mass density: 6.22 Mg/m³
E_form: 1.32 eV per atom
E above lowest polymorph: 1.341 eV/atom
symmetry: Pm-3m, No. 221

Cell: 4.3052 4.3052 4.3052 Å, 90.00 90.00 90.00°
Element x y z (fractional)
Ti  0.0000  0.0000  0.0000
V  0.0000  0.0000  0.5000
V  0.0000  0.5000  0.0000
V  0.5000  0.0000  0.0000
Tc  0.5000  0.5000  0.5000

---

Record 4
This record from Alexandria via LeMat-Bulk describes a relaxed Ti2VTc2 crystal. The functional is PBE.

mass density: 7.23 Mg/m³
E_form: 0.04 eV per atom
E above lowest polymorph: 0.000 eV/atom
symmetry: P4/mbm, No. 127

Cell: 6.9397 6.9397 3.2691 Å, 90.00 90.00 90.00°
Element x y z (fractional)
Ti  0.1577  0.3423  0.0000
Ti  0.3423  0.8423  0.0000
Ti  0.6577  0.1577  0.0000
Ti  0.8423  0.6577  0.0000
V  0.0000  0.0000  0.5000
V  0.5000  0.5000  0.5000
Tc  0.1501  0.6501  0.5000
Tc  0.3499  0.1501  0.5000
Tc  0.6501  0.8499  0.5000
Tc  0.8499  0.3499  0.5000